Below is crystalline Pm6InPb6 at its relaxed geometry, with properties calculated at the GGA-PBE level.

Lattice parameters (Å, degrees): 6.703 6.703 10.559 90.00 90.00 120.00
Element x y z (fractional)
Pb  0.000  0.500  0.250
Pb  0.500  0.000  0.250
Pb  0.000  0.500  0.750
Pb  0.500  0.500  0.750
Pb  0.500  0.500  0.250
Pb  0.500  0.000  0.750
In  0.000  0.000  0.000
Pm  0.667  0.333  0.000
Pm  0.000  0.000  0.688
Pm  0.000  0.000  0.312
Pm  0.333  0.667  0.500
Pm  0.333  0.667  0.000
Pm  0.667  0.333  0.500

Computed properties:
The magnetization comes out at 0.0 μB per cell. For the volume, the calculation gives 410.83 Å³ per cell. The formation energy comes out at -39 kJ/mol of atoms. As for the density of states at the Fermi level: 0.91 states/eV per atom.

---

Below is crystalline Nd4Tl3Cd at its relaxed geometry, with properties calculated at the GGA-PBE level.

Lattice parameters (Å, degrees): 5.487 5.487 8.763 108.24 108.24 89.96
Element x y z (fractional)
Tl  0.000  0.500  0.000
Tl  0.748  0.248  0.495
Tl  0.252  0.752  0.505
Nd  0.624  0.624  0.247
Nd  0.876  0.876  0.753
Nd  0.124  0.124  0.247
Nd  0.376  0.376  0.753
Cd  0.500  0.000  0.000

Computed properties:
The magnetization comes out at 0.0 μB per cell. For the volume, the calculation gives 236.62 Å³ per cell. The offset from the most stable computed form is 0.0 meV/atom. The formation energy comes out at -36 kJ/mol of atoms. As for the density of states at the Fermi level: 1.32 states/eV per atom.

---

Below is crystalline NpCoS2 at its relaxed geometry, with properties calculated at the GGA-PBE level.

Lattice parameters (Å, degrees): 4.077 4.077 7.465 74.15 74.15 60.00
Element x y z (fractional)
Np  0.500  0.500  0.500
S  0.101  0.101  0.697
S  0.899  0.899  0.303
Co  0.000  0.000  0.000

Computed properties:
The magnetization comes out at 5.5 μB per cell. For the volume, the calculation gives 101.97 Å³ per cell. For the formation energy (no corrections), the calculation gives -0.472 eV per atom. The offset from the most stable computed form is 536.3 meV/atom. As for the density of states at the Fermi level: 2.62 states/eV per atom.

---

Below is crystalline BeSb4Pb at its relaxed geometry, with properties calculated at the GGA-PBE level.

Lattice parameters (Å, degrees): 6.255 6.255 6.255 60.00 60.00 60.00
Element x y z (fractional)
Sb  0.376  0.873  0.376
Sb  0.873  0.376  0.376
Sb  0.376  0.376  0.376
Sb  0.376  0.376  0.873
Pb  0.000  0.000  0.000
Be  0.750  0.750  0.750

Computed properties:
The magnetization comes out at 0.0 μB per cell. For the volume, the calculation gives 173.06 Å³ per cell. For the formation energy (no corrections), the calculation gives 0.632 eV per atom. As for the density of states at the Fermi level: 0.64 states/eV per atom.